This record from the Alexandria database describes an optimized crystal structure of CrIn2P. The functional is PBE-GGA.

Summary:
Raw total energy ... -40.66 eV for the cell shown
Symmetry ... C2/m, No. 12

a b c (Å): 15.064 3.647 2.994
angles (deg): 90.00 90.11 90.00
Positions (direct):
Cr1 0.000 0.000 0.000
Cr2 0.500 0.500 0.000
In1 0.169 0.000 0.506
In2 0.331 0.500 0.494
In3 0.669 0.500 0.506
In4 0.831 0.000 0.494
P1 0.000 0.500 0.500
P2 0.500 0.000 0.500

This record from the Alexandria database describes an optimized crystal structure of CaPmNd. The functional is PBE-GGA.

Summary:
Raw total energy ... -45.37 eV for the cell shown
Symmetry ... C2/m, No. 12

a b c (Å): 32.989 3.661 3.721
angles (deg): 90.00 90.04 90.00
Positions (direct):
Ca1 0.050 0.000 0.249
Ca2 0.450 0.500 0.751
Ca3 0.550 0.500 0.249
Ca4 0.950 0.000 0.751
Pm1 0.210 0.000 0.249
Pm2 0.290 0.500 0.751
Pm3 0.710 0.500 0.249
Pm4 0.790 0.000 0.751
Nd1 0.135 0.500 0.748
Nd2 0.365 0.000 0.252
Nd3 0.635 0.000 0.748
Nd4 0.865 0.500 0.252

This record from the Alexandria database describes an optimized crystal structure of ScFeCl. The functional is PBE-GGA.

Summary:
Raw total energy ... -35.07 eV for the cell shown
Symmetry ... I4mm, No. 107

a b c (Å): 3.069 3.069 13.279
angles (deg): 90.00 90.00 90.00
Positions (direct):
Sc1 0.000 0.000 0.000
Sc2 0.500 0.500 0.500
Fe1 0.000 0.000 0.633
Fe2 0.500 0.500 0.133
Cl1 0.000 0.000 0.375
Cl2 0.500 0.500 0.875

This record from the Alexandria database describes an optimized crystal structure of Cs3K12Hg. The functional is PBE-GGA.

Summary:
Raw total energy ... -16.10 eV for the cell shown
Symmetry ... P4/mmm, No. 123

a b c (Å): 6.813 6.813 25.314
angles (deg): 90.00 90.00 90.00
Positions (direct):
Cs1 0.000 0.000 0.000
Cs2 0.000 0.000 0.275
Cs3 0.000 0.000 0.725
K1 0.000 0.500 0.137
K2 0.000 0.500 0.408
K3 0.000 0.500 0.592
K4 0.000 0.500 0.863
K5 0.500 0.000 0.137
K6 0.500 0.000 0.408
K7 0.500 0.000 0.592
K8 0.500 0.000 0.863
K9 0.500 0.500 0.000
K10 0.500 0.500 0.272
K11 0.500 0.500 0.500
K12 0.500 0.500 0.728
Hg1 0.000 0.000 0.500

This record from the Alexandria database describes an optimized crystal structure of YTm4Ru2. The functional is PBE-GGA.

Summary:
Raw total energy ... -90.05 eV for the cell shown
Symmetry ... P2_1/m, No. 11

a b c (Å): 7.666 6.245 7.866
angles (deg): 90.00 112.46 90.00
Positions (direct):
Y1 0.022 0.250 0.163
Y2 0.978 0.750 0.837
Tm1 0.242 0.501 0.584
Tm2 0.242 0.999 0.584
Tm3 0.327 0.750 0.252
Tm4 0.380 0.250 0.020
Tm5 0.620 0.750 0.980
Tm6 0.673 0.250 0.748
Tm7 0.758 0.001 0.416
Tm8 0.758 0.499 0.416
Ru1 0.024 0.250 0.740
Ru2 0.417 0.250 0.376
Ru3 0.583 0.750 0.624
Ru4 0.976 0.750 0.260

This record from the Alexandria database describes an optimized crystal structure of LiRu3. The functional is PBE-GGA.

Summary:
Raw total energy ... -57.73 eV for the cell shown
Symmetry ... C2/m, No. 12

a b c (Å): 8.797 2.663 4.664
angles (deg): 90.00 97.20 90.00
Positions (direct):
Li1 0.000 0.000 0.000
Li2 0.500 0.500 0.000
Ru1 0.000 0.500 0.500
Ru2 0.242 0.000 0.754
Ru3 0.258 0.500 0.246
Ru4 0.500 0.000 0.500
Ru5 0.742 0.500 0.754
Ru6 0.758 0.000 0.246

This record from the Alexandria database describes an optimized crystal structure of ScTa2Be. The functional is PBE-GGA.

Summary:
Raw total energy ... -65.92 eV for the cell shown
Symmetry ... I4/mmm, No. 139

a b c (Å): 3.992 3.992 8.625
angles (deg): 90.00 90.00 90.00
Positions (direct):
Sc1 0.000 0.000 0.000
Sc2 0.500 0.500 0.500
Ta1 0.000 0.500 0.250
Ta2 0.000 0.500 0.750
Ta3 0.500 0.000 0.250
Ta4 0.500 0.000 0.750
Be1 0.000 0.000 0.500
Be2 0.500 0.500 0.000

This record from the Alexandria database describes an optimized crystal structure of AcSc2F. The functional is PBE-GGA.

Summary:
Raw total energy ... -65.43 eV for the cell shown
Symmetry ... R-3m, No. 166

a b c (Å): 3.548 3.548 27.341
angles (deg): 90.00 90.00 120.00
Positions (direct):
Ac1 0.000 0.000 0.000
Ac2 0.333 0.667 0.667
Ac3 0.667 0.333 0.333
Sc1 0.000 0.000 0.123
Sc2 0.000 0.000 0.877
Sc3 0.333 0.667 0.543
Sc4 0.333 0.667 0.790
Sc5 0.667 0.333 0.210
Sc6 0.667 0.333 0.457
F1 0.000 0.000 0.500
F2 0.333 0.667 0.167
F3 0.667 0.333 0.833

This record from the Alexandria database describes an optimized crystal structure of V2GeMo. The functional is PBE-GGA.

Summary:
Raw total energy ... -34.45 eV for the cell shown
Symmetry ... P4/mmm, No. 123

a b c (Å): 4.092 4.092 3.381
angles (deg): 90.00 90.00 90.00
Positions (direct):
V1 0.000 0.500 0.000
V2 0.500 0.000 0.000
Ge1 0.000 0.000 0.500
Mo1 0.500 0.500 0.500

This record from the Alexandria database describes an optimized crystal structure of La2Ga12Ge. The functional is PBE-GGA.

Summary:
Raw total energy ... -110.32 eV for the cell shown
Symmetry ... P4/nbm, No. 125

a b c (Å): 6.473 6.473 15.032
angles (deg): 90.00 90.00 90.00
Positions (direct):
La1 0.250 0.750 0.244
La2 0.250 0.750 0.756
La3 0.750 0.250 0.244
La4 0.750 0.250 0.756
Ga1 0.001 0.501 0.089
Ga2 0.001 0.999 0.911
Ga3 0.072 0.572 0.573
Ga4 0.072 0.928 0.427
Ga5 0.250 0.250 0.175
Ga6 0.250 0.250 0.341
Ga7 0.250 0.250 0.659
Ga8 0.250 0.250 0.825
Ga9 0.428 0.572 0.427
Ga10 0.428 0.928 0.573
Ga11 0.499 0.501 0.911
Ga12 0.499 0.999 0.089
Ga13 0.501 0.001 0.911
Ga14 0.501 0.499 0.089
Ga15 0.572 0.072 0.427
Ga16 0.572 0.428 0.573
Ga17 0.750 0.750 0.175
Ga18 0.750 0.750 0.341
Ga19 0.750 0.750 0.659
Ga20 0.750 0.750 0.825
Ga21 0.928 0.072 0.573
Ga22 0.928 0.428 0.427
Ga23 0.999 0.001 0.089
Ga24 0.999 0.499 0.911
Ge1 0.250 0.750 0.000
Ge2 0.750 0.250 0.000

This record from the Alexandria database describes an optimized crystal structure of BaH2Cl4. The functional is PBE-GGA.

Summary:
Raw total energy ... -50.78 eV for the cell shown
Symmetry ... Fdd2, No. 43

a b c (Å): 7.961 7.706 9.519
angles (deg): 53.81 51.38 74.81
Positions (direct):
Ba1 0.000 0.000 0.000
Ba2 0.250 0.250 0.250
H1 0.193 0.625 0.405
H2 0.473 0.845 0.625
H3 0.625 0.193 0.777
H4 0.845 0.473 0.057
Cl1 0.055 0.851 0.350
Cl2 0.310 0.449 0.439
Cl3 0.448 0.811 0.801
Cl4 0.449 0.310 0.802
Cl5 0.505 0.900 0.399
Cl6 0.811 0.448 0.940
Cl7 0.851 0.055 0.745
Cl8 0.900 0.505 0.195

This record from the Alexandria database describes an optimized crystal structure of SiPtCl. The functional is PBE-GGA.

Summary:
Raw total energy ... -49.10 eV for the cell shown
Symmetry ... F-43m, No. 216

a b c (Å): 6.119 6.119 6.119
angles (deg): 90.00 90.00 90.00
Positions (direct):
Si1 0.000 0.000 0.000
Si2 0.000 0.500 0.500
Si3 0.500 0.000 0.500
Si4 0.500 0.500 0.000
Pt1 0.250 0.250 0.750
Pt2 0.250 0.750 0.250
Pt3 0.750 0.250 0.250
Pt4 0.750 0.750 0.750
Cl1 0.250 0.250 0.250
Cl2 0.250 0.750 0.750
Cl3 0.750 0.250 0.750
Cl4 0.750 0.750 0.250

- What is the raw total energy in the seventh record?
  -65.92 eV for the cell shown

- Look up the raw total energy of the fifth one.
  -90.05 eV for the cell shown

Please write out number 1 again, unchanged.
This record from the Alexandria database describes an optimized crystal structure of CrIn2P. The functional is PBE-GGA.

Summary:
Raw total energy ... -40.66 eV for the cell shown
Symmetry ... C2/m, No. 12

a b c (Å): 15.064 3.647 2.994
angles (deg): 90.00 90.11 90.00
Positions (direct):
Cr1 0.000 0.000 0.000
Cr2 0.500 0.500 0.000
In1 0.169 0.000 0.506
In2 0.331 0.500 0.494
In3 0.669 0.500 0.506
In4 0.831 0.000 0.494
P1 0.000 0.500 0.500
P2 0.500 0.000 0.500

Please write out number 1 again, unchanged.
This record from the Alexandria database describes an optimized crystal structure of CrIn2P. The functional is PBE-GGA.

Summary:
Raw total energy ... -40.66 eV for the cell shown
Symmetry ... C2/m, No. 12

a b c (Å): 15.064 3.647 2.994
angles (deg): 90.00 90.11 90.00
Positions (direct):
Cr1 0.000 0.000 0.000
Cr2 0.500 0.500 0.000
In1 0.169 0.000 0.506
In2 0.331 0.500 0.494
In3 0.669 0.500 0.506
In4 0.831 0.000 0.494
P1 0.000 0.500 0.500
P2 0.500 0.000 0.500